No. 1
Below is a relaxed structure of Mg2GeBi, with properties calculated at the GGA-PBEsol level.

## Properties
energy of formation from the pure elements = 0.05 eV/atom
crystal system = tetragonal

Geometry as CIF:
```
data_Mg2GeBi
_cell_length_a 7.867
_cell_length_b 7.867
_cell_length_c 6.176
_cell_angle_alpha 90.00
_cell_angle_beta 90.00
_cell_angle_gamma 90.00
_symmetry_space_group_name_H-M 'I -4 2 d'
_symmetry_Int_Tables_number 122
_symmetry_space_group_name_Hall 'I -4 2bw'
loop_
_atom_site_label
_atom_site_type_symbol
_atom_site_fract_x
_atom_site_fract_y
_atom_site_fract_z
Mg1 Mg 0.215 0.750 0.125
Ge1 Ge 0.000 0.000 0.000
Bi1 Bi 0.000 0.000 0.500
```

=====

No. 2
Below is a relaxed structure of Ca2MnRh, with properties calculated at the GGA-PBEsol level.

## Properties
energy of formation from the pure elements = 0.25 eV/atom
crystal system = tetragonal

Geometry as CIF:
```
data_Ca2MnRh
_cell_length_a 4.828
_cell_length_b 4.828
_cell_length_c 6.782
_cell_angle_alpha 90.00
_cell_angle_beta 90.00
_cell_angle_gamma 90.00
_symmetry_space_group_name_H-M 'I -4 m 2'
_symmetry_Int_Tables_number 119
_symmetry_space_group_name_Hall 'I -4 -2'
loop_
_atom_site_label
_atom_site_type_symbol
_atom_site_fract_x
_atom_site_fract_y
_atom_site_fract_z
Ca1 Ca 0.000 0.000 0.000
Ca2 Ca 0.000 0.500 0.250
Mn1 Mn 0.000 0.500 0.750
Rh1 Rh 0.000 0.000 0.500
```

=====

No. 3
Below is a relaxed structure of Mn2FeBr, with properties calculated at the GGA-PBEsol level.

## Properties
crystal system = tetragonal
energy above the most stable polymorph in this dataset = 0 meV per atom

Geometry as CIF:
```
data_Mn2FeBr
_cell_length_a 3.031
_cell_length_b 3.031
_cell_length_c 6.102
_cell_angle_alpha 90.00
_cell_angle_beta 90.00
_cell_angle_gamma 90.00
_symmetry_space_group_name_H-M 'P 4 m m'
_symmetry_Int_Tables_number 99
_symmetry_space_group_name_Hall 'P 4 -2'
loop_
_atom_site_label
_atom_site_type_symbol
_atom_site_fract_x
_atom_site_fract_y
_atom_site_fract_z
Mn1 Mn 0.000 0.000 0.000
Mn2 Mn 0.500 0.500 0.195
Fe1 Fe 0.500 0.500 0.771
Br1 Br 0.000 0.000 0.512
```